1.
Entry from Alexandria via LeMat-Bulk: Nd3Ag7Ge4 after structural relaxation (PBE).

Calculated values
Calculated formation energy (eV per atom): -0.380
Density (g/cm3): 8.39

The structure in POSCAR format:
```
Nd3Ag7Ge4
1.0
8.215 -2.232 0.000
8.215 2.232 0.000
-5.723 0.000 7.978
Nd Ag Ge
3 7 4
Cartesian
0.000 0.000 0.000 Nd
3.264 0.000 2.368 Nd
7.443 0.000 5.610 Nd
-2.861 0.000 3.989 Ag
0.126 0.000 3.352 Ag
-0.226 0.000 7.850 Ag
4.115 0.000 5.499 Ag
6.593 0.000 2.479 Ag
10.934 0.000 0.128 Ag
10.581 0.000 4.626 Ag
-2.774 0.000 6.670 Ge
1.445 0.000 5.825 Ge
9.262 0.000 2.153 Ge
13.481 0.000 1.308 Ge
```

***

2.
Entry from Alexandria via LeMat-Bulk: Nd2AgGe2 after structural relaxation (PBE).

Calculated values
Calculated formation energy (eV per atom): -0.672
Density (g/cm3): 7.60
Polymorph energy (0 for the lowest one) (eV/f.u.): 0.00

The structure in POSCAR format:
```
Nd2AgGe2
1.0
5.591 -2.241 0.000
5.591 2.241 0.000
-4.972 0.000 9.452
Nd Ag Ge
4 2 4
Cartesian
-1.557 0.000 3.071 Nd
1.577 0.000 0.966 Nd
4.632 0.000 8.486 Nd
7.766 0.000 6.382 Nd
-0.087 0.000 6.080 Ag
6.296 0.000 3.373 Ag
1.980 0.000 4.051 Ge
4.759 0.000 1.045 Ge
1.451 0.000 8.407 Ge
4.229 0.000 5.402 Ge
```

***

no.,raw total energy (eV/atom)
1,-4.15
2,-5.00